(1)
An optimized crystal structure of Zn2In, computed with GGA-PBE.

a b c (Å): 6.606 6.606 6.606
angles (deg): 90.00 90.00 90.00
Space group Pa-3 (No. 205)
Inequivalent atoms, fractional coordinates:
Zn 0.114 0.114 0.114 x8
In 0.000 0.000 0.500 x4

calculated total energy	-4.4	eV per formula unit
mass density	5.7	g cm⁻³
V	24.0	A^3/atom
total moment	0.0	μB per formula unit

(2)
An optimized crystal structure of La8PdPt3Cl4, computed with GGA-PBE.

a b c (Å): 8.5210 8.5210 22.6254
angles (deg): 90.00 90.00 120.00
Space group R-3m (No. 166, hexagonal axes)
Inequivalent atoms, fractional coordinates:
La 0.0000 0.0000 0.2368 x6
La 0.0026 0.5013 0.7627 x18
Pd 0.0000 0.0000 0.5000 x3
Pt 0.0000 0.5000 0.5000 x9
Cl 0.0000 0.0000 0.0000 x3
Cl 0.0000 0.5000 0.0000 x9

ΔE_f (raw)	-1380	meV/atom
mass density	6.8	g cm⁻³
V	29.6	A^3/atom
total moment	0.0	μB per formula unit

(3)
An optimized crystal structure of Er3Si3Rh2, computed with GGA-PBE.

a b c (Å): 4.166 10.575 13.634
angles (deg): 90.00 90.00 90.00
Space group Cmcm (No. 63)
Inequivalent atoms, fractional coordinates:
Er 0.000 0.079 0.114 x8
Er 0.000 0.356 0.250 x4
Si 0.000 0.338 0.750 x4
Si 0.000 0.391 0.039 x8
Rh 0.000 0.214 0.582 x8

ΔE_f (raw)	-1015	meV/atom
mass density	8.8	g cm⁻³
V	18.8	A^3/atom
total moment	0.0	μB per formula unit

(4)
An optimized crystal structure of LiThSi2Pt4, computed with GGA-PBE.

a b c (Å): 4.2057 4.2057 25.8174
angles (deg): 90.00 90.00 120.00
Space group R-3m (No. 166, hexagonal axes)
Inequivalent atoms, fractional coordinates:
Li 0.0000 0.0000 0.0000 x3
Th 0.0000 0.0000 0.5000 x3
Si 0.0000 0.0000 0.2646 x6
Pt 0.0000 0.0000 0.0959 x6
Pt 0.0000 0.0000 0.3653 x6

ΔE_f (raw)	-928	meV/atom
mass density	13.5	g cm⁻³
V	16.5	A^3/atom
total moment	0.0	μB per formula unit

(5)
An optimized crystal structure of Dy3YAs4, computed with GGA-PBE.

a b c (Å): 8.239 11.651 4.121
angles (deg): 90.00 90.00 90.00
Space group Cmmm (No. 65)
Inequivalent atoms, fractional coordinates:
Dy 0.000 0.000 0.000 x2
Dy 0.250 0.250 0.500 x4
Y 0.000 0.500 0.000 x2
As 0.000 0.250 0.000 x4
As 0.250 0.000 0.500 x4

calculated total energy	-51.2	eV per formula unit
mass density	7.4	g cm⁻³
V	24.7	A^3/atom
total moment	0.0	μB per formula unit

(6)
An optimized crystal structure of AlTe2I, computed with GGA-PBE.

a b c (Å): 7.601 7.601 7.601
angles (deg): 90.00 90.00 90.00
Space group Fm-3m (No. 225)
Inequivalent atoms, fractional coordinates:
Al 0.000 0.000 0.000 x4
Te 0.250 0.250 0.250 x8
I 0.000 0.000 0.500 x4

ΔE_f (raw)	418	meV/atom
mass density	6.2	g cm⁻³
V	27.4	A^3/atom
total moment	0.0	μB per formula unit

(7)
An optimized crystal structure of Na4Zn2H, computed with GGA-PBE.

a b c (Å): 4.552 4.552 16.125
angles (deg): 90.00 90.00 90.00
Space group I4/mmm (No. 139)
Inequivalent atoms, fractional coordinates:
Na 0.000 0.000 0.171 x4
Na 0.000 0.500 0.000 x4
Zn 0.000 0.000 0.358 x4
H 0.000 0.000 0.000 x2

calculated total energy	-10.3	eV per formula unit
mass density	2.2	g cm⁻³
V	23.9	A^3/atom
total moment	0.0	μB per formula unit

(8)
An optimized crystal structure of KMgMn4, computed with GGA-PBE.

a b c (Å): 7.860 7.860 7.860
angles (deg): 90.00 90.00 90.00
Space group F-43m (No. 216)
Inequivalent atoms, fractional coordinates:
K 0.000 0.000 0.000 x4
Mg 0.250 0.250 0.750 x4
Mn 0.122 0.122 0.378 x16

calculated total energy	-34.7	eV per formula unit
mass density	3.9	g cm⁻³
V	20.2	A^3/atom
total moment	15.1	μB per formula unit

(9)
An optimized crystal structure of NaCa4Ag2, computed with GGA-PBE.

a b c (Å): 5.0428 5.0428 32.5051
angles (deg): 90.00 90.00 120.00
Space group R-3m (No. 166, hexagonal axes)
Inequivalent atoms, fractional coordinates:
Na 0.0000 0.0000 0.0000 x3
Ca 0.0000 0.0000 0.1999 x6
Ca 0.0000 0.0000 0.3938 x6
Ag 0.0000 0.0000 0.0989 x6

calculated total energy	-15.6	eV per formula unit
mass density	2.8	g cm⁻³
V	34.1	A^3/atom
total moment	0.0	μB per formula unit

(10)
An optimized crystal structure of Fe4Ni4Pt5, computed with GGA-PBE.

a b c (Å): 9.613 9.613 3.750
angles (deg): 90.00 90.00 90.00
Space group I4/m (No. 87)
Inequivalent atoms, fractional coordinates:
Fe 0.149 0.238 0.000 x8
Ni 0.075 0.610 0.000 x8
Pt 0.000 0.000 0.000 x2
Pt 0.043 0.795 0.500 x8

calculated total energy	-89.1	eV per formula unit
mass density	13.7	g cm⁻³
V	13.3	A^3/atom
total moment	16.2	μB per formula unit

(11)
An optimized crystal structure of LaLuSnAu, computed with GGA-PBE.

a b c (Å): 7.519 7.519 7.519
angles (deg): 90.00 90.00 90.00
Space group F-43m (No. 216)
Inequivalent atoms, fractional coordinates:
La 0.000 0.000 0.000 x4
Lu 0.000 0.000 0.500 x4
Sn 0.250 0.250 0.750 x4
Au 0.250 0.250 0.250 x4

calculated total energy	-19.5	eV per formula unit
mass density	9.8	g cm⁻³
V	26.6	A^3/atom
total moment	0.4	μB per formula unit

(12)
An optimized crystal structure of Tb3Sc2Tl6, computed with GGA-PBE.

a b c (Å): 4.704 4.704 28.125
angles (deg): 90.00 90.00 90.00
Space group I4/mmm (No. 139)
Inequivalent atoms, fractional coordinates:
Tb 0.000 0.000 0.000 x2
Tb 0.000 0.000 0.197 x4
Sc 0.000 0.000 0.449 x4
Tl 0.000 0.000 0.306 x4
Tl 0.000 0.500 0.112 x8

calculated total energy	-41.4	eV per formula unit
mass density	9.6	g cm⁻³
V	28.3	A^3/atom
total moment	0.0	μB per formula unit

(13)
An optimized crystal structure of Nd5Si3B, computed with GGA-PBE.

a b c (Å): 8.9246 8.9246 6.5775
angles (deg): 90.00 90.00 120.00
Space group P6_3/mcm (No. 193)
Inequivalent atoms, fractional coordinates:
Nd 0.0000 0.2426 0.2500 x6
Nd 0.3333 0.6667 0.0000 x4
Si 0.0000 0.3952 0.7500 x6
B 0.0000 0.0000 0.0000 x2

ΔE_f (raw)	-397	meV/atom
mass density	6.0	g cm⁻³
V	25.2	A^3/atom
total moment	0.0	μB per formula unit

(14)
An optimized crystal structure of ZrSc3In, computed with GGA-PBE.

a b c (Å): 5.161 5.161 5.161
angles (deg): 90.00 90.00 90.00
Space group Pm-3m (No. 221)
Inequivalent atoms, fractional coordinates:
Zr 0.000 0.000 0.000 x1
Sc 0.000 0.000 0.500 x3
In 0.500 0.500 0.500 x1

calculated total energy	-27.0	eV per formula unit
mass density	4.1	g cm⁻³
V	27.5	A^3/atom
total moment	0.0	μB per formula unit

(15)
An optimized crystal structure of BaHgIBr, computed with GGA-PBE.

a b c (Å): 8.375 8.375 8.375
angles (deg): 90.00 90.00 90.00
Space group F-43m (No. 216)
Inequivalent atoms, fractional coordinates:
Ba 0.000 0.000 0.000 x4
Hg 0.000 0.000 0.500 x4
I 0.250 0.250 0.250 x4
Br 0.250 0.250 0.750 x4

ΔE_f (raw)	-1374	meV/atom
mass density	6.2	g cm⁻³
V	36.7	A^3/atom
total moment	0.0	μB per formula unit

(16)
An optimized crystal structure of Sm5Ag2Sn4, computed with GGA-PBE.

a b c (Å): 24.705 3.402 7.684
angles (deg): 90.00 91.75 90.00
Space group C2/m (No. 12)
Inequivalent atoms, fractional coordinates:
Sm 0.000 0.000 0.000 x2
Sm 0.147 0.500 0.999 x4
Sm 0.173 0.500 0.496 x4
Ag 0.059 0.500 0.304 x4
Sn 0.058 0.500 0.683 x4
Sn 0.238 0.000 0.790 x4

calculated total energy	-47.9	eV per formula unit
mass density	7.4	g cm⁻³
V	29.3	A^3/atom
total moment	0.0	μB per formula unit

(17)
An optimized crystal structure of LiHfF2, computed with GGA-PBE.

a b c (Å): 4.963 4.963 9.167
angles (deg): 90.00 90.00 90.00
Space group I-42d (No. 122)
Inequivalent atoms, fractional coordinates:
Li 0.000 0.000 0.000 x4
Hf 0.000 0.000 0.500 x4
F 0.179 0.250 0.125 x8

ΔE_f (raw)	-1822	meV/atom
mass density	6.6	g cm⁻³
V	14.1	A^3/atom
total moment	1.0	μB per formula unit

(18)
An optimized crystal structure of DySc2Ru3, computed with GGA-PBE.

a b c (Å): 4.630 13.838 3.292
angles (deg): 90.00 90.00 90.00
Space group Cmmm (No. 65)
Inequivalent atoms, fractional coordinates:
Dy 0.000 0.000 0.000 x2
Sc 0.000 0.330 0.000 x4
Ru 0.000 0.172 0.500 x4
Ru 0.000 0.500 0.500 x2

calculated total energy	-47.8	eV per formula unit
mass density	8.7	g cm⁻³
V	17.6	A^3/atom
total moment	0.0	μB per formula unit

(19)
An optimized crystal structure of Nd2Ni17, computed with GGA-PBE.

a b c (Å): 8.3642 8.3642 12.1383
angles (deg): 90.00 90.00 120.00
Space group R-3m (No. 166, hexagonal axes)
Inequivalent atoms, fractional coordinates:
Nd 0.0000 0.0000 0.1595 x6
Ni 0.0000 0.0000 0.4017 x6
Ni 0.0000 0.2896 0.5000 x18
Ni 0.0000 0.5000 0.0000 x9
Ni 0.0029 0.5014 0.3449 x18

calculated total energy	-110.9	eV per formula unit
mass density	8.7	g cm⁻³
V	12.9	A^3/atom
total moment	7.2	μB per formula unit

(20)
An optimized crystal structure of GaFe3Sn, computed with GGA-PBE.

a b c (Å): 4.450 4.450 4.450
angles (deg): 90.00 90.00 90.00
Space group Pm-3m (No. 221)
Inequivalent atoms, fractional coordinates:
Ga 0.000 0.000 0.000 x1
Fe 0.000 0.000 0.500 x3
Sn 0.500 0.500 0.500 x1

calculated total energy	-28.5	eV per formula unit
mass density	6.7	g cm⁻³
V	17.6	A^3/atom
total moment	7.2	μB per formula unit